# 1
DFT (GGA-PBE) results for a relaxed Y2ZrBi crystal.

Cell and atoms, written as POSCAR:
```
Y2ZrBi
1.0
7.5128 0.0000 0.0000
0.0000 7.5128 0.0000
0.0000 0.0000 7.5128
Y Zr Bi
8 4 4
direct
0.0000 0.0000 0.0000 Y
0.0000 0.5000 0.5000 Y
0.2500 0.2500 0.2500 Y
0.2500 0.7500 0.7500 Y
0.5000 0.0000 0.5000 Y
0.5000 0.5000 0.0000 Y
0.7500 0.2500 0.7500 Y
0.7500 0.7500 0.2500 Y
0.2500 0.2500 0.7500 Zr
0.2500 0.7500 0.2500 Zr
0.7500 0.2500 0.2500 Zr
0.7500 0.7500 0.7500 Zr
0.0000 0.0000 0.5000 Bi
0.0000 0.5000 0.0000 Bi
0.5000 0.0000 0.0000 Bi
0.5000 0.5000 0.5000 Bi
```

Summary:
- magnetic moment (μB/f.u.) = 0.922
- E (Ry/atom) = -0.4718
- mass density (kg/m³) = 7488


# 2
DFT (GGA-PBE) results for a relaxed HfFeGePt crystal.

Cell and atoms, written as POSCAR:
```
HfFeGePt
1.0
6.3798 0.0000 0.0000
0.0000 6.3798 0.0000
0.0000 0.0000 6.3798
Hf Fe Ge Pt
4 4 4 4
direct
0.0000 0.0000 0.0000 Hf
0.0000 0.5000 0.5000 Hf
0.5000 0.0000 0.5000 Hf
0.5000 0.5000 0.0000 Hf
0.0000 0.0000 0.5000 Fe
0.0000 0.5000 0.0000 Fe
0.5000 0.0000 0.0000 Fe
0.5000 0.5000 0.5000 Fe
0.2500 0.2500 0.2500 Ge
0.2500 0.7500 0.7500 Ge
0.7500 0.2500 0.7500 Ge
0.7500 0.7500 0.2500 Ge
0.2500 0.2500 0.7500 Pt
0.2500 0.7500 0.2500 Pt
0.7500 0.2500 0.2500 Pt
0.7500 0.7500 0.7500 Pt
```

Summary:
- polymorph energy (0 for the lowest one) (eV/atom) = 0.088
- magnetic moment (μB/f.u.) = 2.597
- E (Ry/atom) = -0.5570
- mass density (kg/m³) = 12842


# 3
DFT (GGA-PBE) results for a relaxed TbUBi crystal.

Cell and atoms, written as POSCAR:
```
TbUBi
1.0
7.4606 0.0000 0.0000
0.0000 7.4606 0.0000
0.0000 0.0000 7.4606
Tb U Bi
4 4 4
direct
0.0000 0.0000 0.0000 Tb
0.0000 0.5000 0.5000 Tb
0.5000 0.0000 0.5000 Tb
0.5000 0.5000 0.0000 Tb
0.2500 0.2500 0.7500 U
0.2500 0.7500 0.2500 U
0.7500 0.2500 0.2500 U
0.7500 0.7500 0.7500 U
0.0000 0.0000 0.5000 Bi
0.0000 0.5000 0.0000 Bi
0.5000 0.0000 0.0000 Bi
0.5000 0.5000 0.5000 Bi
```

Summary:
- magnetic moment (μB/f.u.) = 5.388
- E (Ry/atom) = -0.4333
- mass density (kg/m³) = 9692


# 4
DFT (GGA-PBE) results for a relaxed PrTmPt crystal.

Cell and atoms, written as POSCAR:
```
PrTmPt
1.0
6.7928 0.0000 0.0000
0.0000 6.7928 0.0000
0.0000 0.0000 6.7928
Pr Tm Pt
4 4 4
direct
0.0000 0.0000 0.0000 Pr
0.0000 0.5000 0.5000 Pr
0.5000 0.0000 0.5000 Pr
0.5000 0.5000 0.0000 Pr
0.2500 0.2500 0.2500 Tm
0.2500 0.7500 0.7500 Tm
0.7500 0.2500 0.7500 Tm
0.7500 0.7500 0.2500 Tm
0.0000 0.0000 0.5000 Pt
0.0000 0.5000 0.0000 Pt
0.5000 0.0000 0.0000 Pt
0.5000 0.5000 0.5000 Pt
```

Summary:
- magnetic moment (μB/f.u.) = 0.002
- E (Ry/atom) = -0.3862
- mass density (kg/m³) = 10700
- energy of formation (eV/atom) = -0.152


# 5
DFT (GGA-PBE) results for a relaxed Si2HgAu crystal.

Cell and atoms, written as POSCAR:
```
Si2HgAu
1.0
6.7079 0.0000 0.0000
0.0000 6.7079 0.0000
0.0000 0.0000 6.7079
Si Hg Au
8 4 4
direct
0.0000 0.0000 0.0000 Si
0.0000 0.5000 0.5000 Si
0.2500 0.2500 0.2500 Si
0.2500 0.7500 0.7500 Si
0.5000 0.0000 0.5000 Si
0.5000 0.5000 0.0000 Si
0.7500 0.2500 0.7500 Si
0.7500 0.7500 0.2500 Si
0.0000 0.0000 0.5000 Hg
0.0000 0.5000 0.0000 Hg
0.5000 0.0000 0.0000 Hg
0.5000 0.5000 0.5000 Hg
0.2500 0.2500 0.7500 Au
0.2500 0.7500 0.2500 Au
0.7500 0.2500 0.2500 Au
0.7500 0.7500 0.7500 Au
```

Summary:
- E (Ry/atom) = -0.2251
- mass density (kg/m³) = 9985


# 6
DFT (GGA-PBE) results for a relaxed FeAsIrW crystal.

Cell and atoms, written as POSCAR:
```
FeAsIrW
1.0
6.1555 0.0000 0.0000
0.0000 6.1555 0.0000
0.0000 0.0000 6.1555
Fe As Ir W
4 4 4 4
direct
0.0000 0.0000 0.0000 Fe
0.0000 0.5000 0.5000 Fe
0.5000 0.0000 0.5000 Fe
0.5000 0.5000 0.0000 Fe
0.2500 0.2500 0.7500 As
0.2500 0.7500 0.2500 As
0.7500 0.2500 0.2500 As
0.7500 0.7500 0.7500 As
0.2500 0.2500 0.2500 Ir
0.2500 0.7500 0.7500 Ir
0.7500 0.2500 0.7500 Ir
0.7500 0.7500 0.2500 Ir
0.0000 0.0000 0.5000 W
0.0000 0.5000 0.0000 W
0.5000 0.0000 0.0000 W
0.5000 0.5000 0.5000 W
```

Summary:
- polymorph energy (0 for the lowest one) (eV/atom) = 0.000
- magnetic moment (μB/f.u.) = 1.757
- E (Ry/atom) = -0.6219
- mass density (kg/m³) = 14434


# 7
DFT (GGA-PBE) results for a relaxed TbDy2Mg3InGa2 crystal.

Cell and atoms, written as POSCAR:
```
TbDy2Mg3InGa2
1.0
4.5566 0.0000 0.0000
0.0000 6.3514 3.6607
0.0000 -6.3514 3.6607
Tb Dy Mg In Ga
1 2 3 1 2
direct
0.0000 0.0000 0.0000 Tb
0.0000 0.4374 0.8748 Dy
0.0000 0.8748 0.4374 Dy
0.5000 0.1876 0.4377 Mg
0.5000 0.4377 0.1876 Mg
0.5000 0.6874 0.6874 Mg
0.0000 0.4383 0.4383 In
0.5000 0.1045 0.7704 Ga
0.5000 0.7704 0.1045 Ga
```

Summary:
- magnetic moment (μB/f.u.) = 0.000
- E (Ry/atom) = -0.2568
- mass density (kg/m³) = 6356


# 8
DFT (GGA-PBE) results for a relaxed Nd4AlI5 crystal.

Cell and atoms, written as POSCAR:
```
Nd4AlI5
1.0
9.9120 -2.1626 0.0000
9.9120 2.1626 0.0000
-2.0008 0.0000 8.9720
Nd Al I
4 1 5
direct
0.0000 0.0000 0.2248 Nd
0.0000 0.0000 0.7752 Nd
0.3496 0.3496 0.9235 Nd
0.6504 0.6504 0.0765 Nd
0.5000 0.5000 0.0000 Al
0.1670 0.1670 0.3371 I
0.1719 0.1719 0.8283 I
0.5000 0.5000 0.5000 I
0.8281 0.8281 0.1717 I
0.8330 0.8330 0.6629 I
```

Summary:
- magnetic moment (μB/f.u.) = 0.015
- E (Ry/atom) = -0.3042
- mass density (kg/m³) = 5347


# 9
DFT (GGA-PBE) results for a relaxed NaErCdTe3 crystal.

Cell and atoms, written as POSCAR:
```
NaErCdTe3
1.0
8.6795 0.0000 0.0000
0.0000 4.3890 0.0000
-2.7488 0.0000 10.2329
Na Er Cd Te
2 2 2 6
direct
0.2134 0.2500 0.2421 Na
0.7866 0.7500 0.7579 Na
0.3251 0.7500 0.8557 Er
0.6749 0.2500 0.1443 Er
0.0841 0.2500 0.6041 Cd
0.9159 0.7500 0.3959 Cd
0.0778 0.2500 0.8663 Te
0.2632 0.7500 0.5400 Te
0.4339 0.7500 0.1536 Te
0.5661 0.2500 0.8464 Te
0.7368 0.2500 0.4600 Te
0.9222 0.7500 0.1337 Te
```

Summary:
- polymorph energy (0 for the lowest one) (eV/atom) = 0.000
- magnetic moment (μB/f.u.) = 0.009
- E (Ry/atom) = -0.2684
- mass density (kg/m³) = 5840


# 10
DFT (GGA-PBE) results for a relaxed ZrAs crystal.

Cell and atoms, written as POSCAR:
```
ZrAs
1.0
5.4748 0.0000 0.0000
0.0000 5.4748 0.0000
0.0000 0.0000 5.4748
Zr As
4 4
direct
0.0000 0.0000 0.0000 Zr
0.0000 0.5000 0.5000 Zr
0.5000 0.0000 0.5000 Zr
0.5000 0.5000 0.0000 Zr
0.0000 0.0000 0.5000 As
0.0000 0.5000 0.0000 As
0.5000 0.0000 0.0000 As
0.5000 0.5000 0.5000 As
```

Summary:
- magnetic moment (μB/f.u.) = 0.002
- E (Ry/atom) = -0.5644
- mass density (kg/m³) = 6725


# 11
DFT (GGA-PBE) results for a relaxed NaTaTlCo crystal.

Cell and atoms, written as POSCAR:
```
NaTaTlCo
1.0
6.4212 0.0000 0.0000
0.0000 6.4212 0.0000
0.0000 0.0000 6.4212
Na Ta Tl Co
4 4 4 4
direct
0.0000 0.0000 0.0000 Na
0.0000 0.5000 0.5000 Na
0.5000 0.0000 0.5000 Na
0.5000 0.5000 0.0000 Na
0.2500 0.2500 0.7500 Ta
0.2500 0.7500 0.2500 Ta
0.7500 0.2500 0.2500 Ta
0.7500 0.7500 0.7500 Ta
0.2500 0.2500 0.2500 Tl
0.2500 0.7500 0.7500 Tl
0.7500 0.2500 0.7500 Tl
0.7500 0.7500 0.2500 Tl
0.0000 0.0000 0.5000 Co
0.0000 0.5000 0.0000 Co
0.5000 0.0000 0.0000 Co
0.5000 0.5000 0.5000 Co
```

Summary:
- polymorph energy (0 for the lowest one) (eV/atom) = 0.000
- magnetic moment (μB/f.u.) = 0.001
- E (Ry/atom) = -0.3733
- mass density (kg/m³) = 11722


# 12
DFT (GGA-PBE) results for a relaxed Sc6Ni2Ge crystal.

Cell and atoms, written as POSCAR:
```
Sc6Ni2Ge
1.0
6.9714 0.0000 0.0000
-3.4857 6.0374 0.0000
0.0000 0.0000 4.1912
Sc Ni Ge
6 2 1
direct
0.0000 0.2703 0.0000 Sc
0.0000 0.5918 0.5000 Sc
0.2703 0.0000 0.0000 Sc
0.4082 0.4082 0.5000 Sc
0.5918 0.0000 0.5000 Sc
0.7297 0.7297 0.0000 Sc
0.3333 0.6667 0.0000 Ni
0.6667 0.3333 0.0000 Ni
0.0000 0.0000 0.5000 Ge
```

Summary:
- magnetic moment (μB/f.u.) = 0.129
- E (Ry/atom) = -0.4673
- mass density (kg/m³) = 4328